Material: Sm2Sc2CBr5
Method: DFT, PBE
State: optimized geometry

The structure in extended XYZ format:
```
10
Lattice="-7.352 1.868 5.474 -5.748 -0.995 7.312 5.817 5.169 2.974" Properties=species:S:1:pos:R:3 pbc="T T T"
Sc 0.541 5.167 7.572
Sc -7.824 0.875 8.188
Br -3.642 3.021 7.880
Br -10.090 1.466 11.084
Br 2.807 4.576 4.675
Br -6.922 4.310 12.749
Br -0.361 1.732 3.011
C -6.550 0.436 6.393
Sm 4.616 4.110 2.371
Sm -11.899 1.932 13.389
```

Calculated volume in Å³/atom: 28.01
Total energy in eV per cell: -53.875

Material: TbSmC2Br2
Method: DFT, PBE
State: optimized geometry

The structure in extended XYZ format:
```
6
Lattice="-1.541 -1.807 -3.310 -0.772 -3.993 -0.234 -9.926 2.435 4.210" Properties=species:S:1:pos:R:3 pbc="T T T"
Sm -5.619 -4.069 -1.488
Br -2.317 -0.554 0.185
Br -9.860 -2.814 0.463
C -6.301 -1.165 0.746
C -6.008 -2.189 -0.054
Tb -6.613 0.695 2.146
```

Calculated volume in Å³/atom: 25.40
Total energy in eV per cell: -37.562

Material: Sm2Tm2CBr5
Method: DFT, PBE
State: optimized geometry

The structure in extended XYZ format:
```
10
Lattice="-4.632 7.867 -1.529 -6.887 6.098 1.031 5.215 2.183 6.101" Properties=species:S:1:pos:R:3 pbc="T T T"
Br -8.734 11.914 0.538
Br -3.152 8.074 2.802
Br 2.429 4.234 5.065
Br -6.072 13.130 3.723
Br -0.232 3.018 1.880
Sm -10.438 14.395 0.751
Sm 4.134 1.753 4.852
C -5.760 6.982 -0.249
Tm -6.941 8.987 0.095
Tm 0.637 7.161 5.508
```

Calculated volume in Å³/atom: 28.26
Total energy in eV per cell: -50.145

Material: SmYC2Br2
Method: DFT, PBE
State: optimized geometry

The structure in extended XYZ format:
```
6
Lattice="3.582 -1.923 0.000 3.582 1.923 0.000 -0.833 0.000 11.015" Properties=species:S:1:pos:R:3 pbc="T T T"
Br 1.103 0.000 2.117
Br 5.221 0.000 8.826
Sm 5.825 0.000 4.039
C 2.605 0.000 5.908
C 3.723 0.000 5.192
Y 0.517 0.000 6.964
```

Calculated volume in Å³/atom: 25.29
Total energy in eV per cell: -39.381

Material: TbCBr
Method: DFT, PBE
State: optimized geometry

The structure in extended XYZ format:
```
6
Lattice="-1.814 -2.044 -2.661 3.104 -1.702 1.923 -7.248 -3.088 7.346" Properties=species:S:1:pos:R:3 pbc="T T T"
Br -4.218 -3.091 5.283
Br -1.740 -3.743 1.326
C 1.626 -2.419 0.747
C -7.584 -4.415 5.862
Tb -0.336 -1.209 1.158
Tb -5.622 -5.625 5.450
```

Calculated volume in Å³/atom: 24.23
Total energy in eV per cell: -37.541

Material: TbTmC2Br2
Method: DFT, PBE
State: optimized geometry

The structure in extended XYZ format:
```
6
Lattice="0.122 1.826 -3.533 -3.095 0.179 -2.495 -2.857 9.027 5.468" Properties=species:S:1:pos:R:3 pbc="T T T"
Br -4.754 8.935 -0.553
Br -1.101 2.157 0.010
Tb -2.235 5.995 2.587
Tm -3.594 5.044 -3.133
C -2.776 5.639 0.344
C -3.029 5.326 -0.934
```

Calculated volume in Å³/atom: 23.94
Total energy in eV per cell: -37.332

Material: CdBr2
Method: DFT, PBE
State: optimized geometry

The structure in extended XYZ format:
```
6
Lattice="-6.295 -0.737 -2.093 0.096 -6.381 1.957 -1.373 1.125 3.734" Properties=species:S:1:pos:R:3 pbc="T T T"
Br -4.311 -4.950 -0.094
Br -1.888 -2.168 -0.041
Br -5.733 -1.278 0.566
Br -1.839 -4.715 3.033
Cd -3.786 -2.996 1.799
Cd 0.000 0.000 0.000
```

Calculated volume in Å³/atom: 30.70
Total energy in eV per cell: -13.315

Material: CdBr2
Method: DFT, PBE
State: optimized geometry

The structure in extended XYZ format:
```
12
Lattice="9.569 0.000 0.000 0.000 3.976 0.000 0.000 0.000 10.287" Properties=species:S:1:pos:R:3 pbc="T T T"
Br 6.301 0.994 0.348
Br 4.588 0.994 6.904
Br 0.197 2.982 1.760
Br 4.982 2.982 3.384
Br 3.268 2.982 9.939
Br 1.516 0.994 4.795
Br 8.053 2.982 5.492
Br 9.372 0.994 8.527
Cd 3.160 2.982 5.456
Cd 7.944 2.982 9.975
Cd 6.409 0.994 4.831
Cd 1.625 0.994 0.312
```

Calculated volume in Å³/atom: 32.62
Total energy in eV per cell: -26.482

Among the records above, which one has the lowest calculated volume?
TbTmC2Br2

Copy entry 3 word for word.
Material: Sm2Tm2CBr5
Method: DFT, PBE
State: optimized geometry

The structure in extended XYZ format:
```
10
Lattice="-4.632 7.867 -1.529 -6.887 6.098 1.031 5.215 2.183 6.101" Properties=species:S:1:pos:R:3 pbc="T T T"
Br -8.734 11.914 0.538
Br -3.152 8.074 2.802
Br 2.429 4.234 5.065
Br -6.072 13.130 3.723
Br -0.232 3.018 1.880
Sm -10.438 14.395 0.751
Sm 4.134 1.753 4.852
C -5.760 6.982 -0.249
Tm -6.941 8.987 0.095
Tm 0.637 7.161 5.508
```

Calculated volume in Å³/atom: 28.26
Total energy in eV per cell: -50.145